VASP calculation (PBE) on an optimized crystal structure of HoGe2PtRh2.

```
HoGe2PtRh2
1.0
4.6584 0.0000 0.0000
0.0000 4.6584 0.0000
0.0000 0.0000 5.5090
Ge Rh Pt Ho
2 2 1 1
direct
0.0000 0.5000 0.0000
0.5000 0.0000 0.0000
0.5000 0.5000 0.2577
0.5000 0.5000 0.7423
0.0000 0.0000 0.0000
0.0000 0.0000 0.5000
```

Computed properties:
Calculated density = 9877 kg/m³
N(E_F) = 4.09 states/eV per cell
SG = No. 123
Energy = -5.9588 eV/atom
Calculated formation energy = -199 meV per atom
Crystal system = tetragonal